This record from Alexandria describes a geometry-optimized Nd3Zn8Ag3 structure. The functional is GGA-PBE.

The calculation puts the formation energy at -0.30 eV per atom. The total magnetization is 0.0 μB/cell. The value obtained for the mass density is 7.72 g/cm³.

It has space group Immm (No. 71), with a = 4.522 Å, b = 8.954 Å, c = 13.587 Å, α = 90.00°, β = 90.00° and γ = 90.00°. Symmetry generates all atoms from Nd at (0.000, 0.000, 0.000), Nd at (0.000, 0.000, 0.300), Zn at (0.000, 0.279, 0.138), Zn at (0.000, 0.360, 0.332), Ag at (0.000, 0.207, 0.500) and Ag at (0.000, 0.500, 0.000).

This record from Alexandria describes a geometry-optimized Mg2AlFe structure. The functional is GGA-PBE.

The calculation puts the formation energy at 0.16 eV per atom. The total magnetization is 4.4 μB/cell. The value obtained for the mass density is 3.29 g/cm³.

It has space group C2/m (No. 12), with a = 5.510 Å, b = 9.343 Å, c = 2.796 Å, α = 90.00°, β = 112.67° and γ = 90.00°. Symmetry generates all atoms from Mg at (0.250, 0.250, 0.000), Al at (0.000, 0.000, 0.500) and Fe at (0.000, 0.500, 0.500).

This record from Alexandria describes a geometry-optimized CoTe2P structure. The functional is GGA-PBE.

The uncorrected formation energy is 2.55 eV per formula unit. The total magnetization is 4.3 μB/cell. The value obtained for the mass density is 5.19 g/cm³.

It has space group I-4m2 (No. 119), with a = 3.726 Å, b = 3.726 Å, c = 15.894 Å, α = 90.00°, β = 90.00° and γ = 90.00°. Symmetry generates all atoms from Co at (0.000, 0.000, 0.000), Te at (0.000, 0.000, 0.500), Te at (0.000, 0.500, 0.250) and P at (0.000, 0.500, 0.750).

This record from Alexandria describes a geometry-optimized Cr3FeH2 structure. The functional is GGA-PBE.

The total magnetization is 9.6 μB/cell. The value obtained for the energy is -172.32 eV/cell. The value obtained for the mass density is 6.86 g/cm³.

It has space group C2/m (No. 12), with a = 10.115 Å, b = 2.828 Å, c = 8.680 Å, α = 90.00°, β = 123.47° and γ = 90.00°. Symmetry generates all atoms from Cr at (0.112, 0.000, 0.195), Cr at (0.118, 0.500, 0.955), Cr at (0.135, 0.500, 0.423), Fe at (0.131, 0.000, 0.704), H at (0.068, 0.000, 0.475) and H at (0.247, 0.500, 0.870).

This record from Alexandria describes a geometry-optimized AcLuInHg structure. The functional is GGA-PBE.

The calculation puts the formation energy at -0.39 eV per atom. The total magnetization is 0.0 μB/cell. The value obtained for the mass density is 9.99 g/cm³.

It has space group F-43m (No. 216), with a = 7.812 Å, b = 7.812 Å, c = 7.812 Å, α = 90.00°, β = 90.00° and γ = 90.00°. Symmetry generates all atoms from Ac at (0.000, 0.000, 0.000), Lu at (0.000, 0.000, 0.500), In at (0.250, 0.250, 0.250) and Hg at (0.250, 0.250, 0.750).

This record from Alexandria describes a geometry-optimized AlTcTe structure. The functional is GGA-PBE.

The uncorrected formation energy is 0.54 eV per formula unit. As for the energy above the lowest structure with this stoichiometry: 13.31 kJ per mole of atoms. The total magnetization is 0.0 μB/cell. The value obtained for the mass density is 6.96 g/cm³.

It has space group F-43m (No. 216), with a = 6.222 Å, b = 6.222 Å, c = 6.222 Å, α = 90.00°, β = 90.00° and γ = 90.00°. Symmetry generates all atoms from Al at (0.000, 0.000, 0.000), Tc at (0.250, 0.250, 0.750) and Te at (0.000, 0.000, 0.500).